{
  "formula": "NaYBi2",
  "functional": "PBE",
  "state": "relaxed",
  "e_form_ev_per_fu": -1.72,
  "m_tot_mub_per_fu": 0.00,
  "sg": "R3m (160)",
  "density_g_cm3": 6.6,
  "relative_energy_ev_per_atom": 0.070,
  "dft_energy_ev_per_atom": -4.316,
  "lattice_angstrom": [[2.440, 1.409, 6.425], [-2.440, 1.409, 6.425], [0.000, -2.818, 6.425]],
  "species": ["Na", "Y", "Bi", "Bi"],
  "frac_coords": [[0.000, 0.000, 0.000], [0.180, 0.180, 0.180], [0.592, 0.592, 0.592], [0.762, 0.762, 0.762]]
}